# 1
Computed, not measured: a crystal of Ti2Cd relaxed with PBEsol at the SCAN level of DFT.

It has space group I4/mmm (No. 139), with a = 2.8182 Å, b = 2.8182 Å, c = 13.2566 Å, α = 90.00°, β = 90.00° and γ = 90.00°. The inequivalent atoms are Ti at (0.0000, 0.0000, 0.1765) and Cd at (0.0000, 0.0000, 0.5000).

Its size of the total moment is 0.0 μB/f.u. The total DFT energy (no corrections) is -125.6 eV/cell. Its formation energy is -0.12 eV/atom.


# 2
Computed, not measured: a crystal of ZrCrPt2 relaxed with PBEsol at the SCAN level of DFT.

It has space group Pmm2 (No. 25), with a = 2.8856 Å, b = 4.5441 Å, c = 4.8685 Å, α = 90.00°, β = 90.00° and γ = 90.00°. The inequivalent atoms are Zr at (0.0000, 0.0000, 0.0000), Cr at (0.0000, 0.5000, 0.6136), Pt at (0.5000, 0.0000, 0.5121) and Pt at (0.5000, 0.5000, 0.1539).

Its size of the total moment is 3.3 μB/f.u. The total DFT energy (no corrections) is -192.8 eV/cell. Its formation energy is -0.83 eV/atom.


# 3
Computed, not measured: a crystal of Zn relaxed with PBEsol at the SCAN level of DFT.

It has space group I4/mmm (No. 139), with a = 3.3860 Å, b = 3.3860 Å, c = 2.5407 Å, α = 90.00°, β = 90.00° and γ = 90.00°. The inequivalent atoms are Zn at (0.0000, 0.0000, 0.0000).

Its size of the total moment is 0.0 μB/f.u. The total DFT energy (no corrections) is -27.0 eV/cell. The excess energy over the best structure of this formula in the dataset is 0.029 eV per atom. Its formation energy is 0.03 eV/atom.


# 4
Computed, not measured: a crystal of MnOsPt2 relaxed with PBEsol at the SCAN level of DFT.

It has space group Pmmm (No. 47), with a = 2.7201 Å, b = 3.8773 Å, c = 5.3568 Å, α = 90.00°, β = 90.00° and γ = 90.00°. The inequivalent atoms are Mn at (0.0000, 0.0000, 0.0000), Os at (0.0000, 0.0000, 0.5000) and Pt at (0.5000, 0.5000, 0.2519).

Its size of the total moment is 3.7 μB/f.u. The total DFT energy (no corrections) is -231.5 eV/cell. Its formation energy is -0.25 eV/atom.


# 5
Computed, not measured: a crystal of TiHgBr2 relaxed with PBEsol at the SCAN level of DFT.

It has space group R-3m (No. 166, hexagonal axes), with a = 3.3736 Å, b = 3.3736 Å, c = 31.3664 Å, α = 90.00°, β = 90.00° and γ = 120.00°. The inequivalent atoms are Ti at (0.0000, 0.0000, 0.0000), Hg at (0.0000, 0.0000, 0.5000) and Br at (0.0000, 0.0000, 0.3877).

Its size of the total moment is 1.7 μB/f.u. The total DFT energy (no corrections) is -379.2 eV/cell. Its formation energy from raw total energies is -0.8188 eV/atom.


# 6
Computed, not measured: a crystal of InAsW2 relaxed with PBEsol at the SCAN level of DFT.

It has space group F-43m (No. 216), with a = 6.4919 Å, b = 6.4919 Å, c = 6.4919 Å, α = 90.00°, β = 90.00° and γ = 90.00°. The inequivalent atoms are In at (0.0000, 0.0000, 0.0000), As at (0.2500, 0.2500, 0.7500), W at (0.0000, 0.0000, 0.5000) and W at (0.2500, 0.2500, 0.2500).

Its size of the total moment is 0.0 μB/f.u. The total DFT energy (no corrections) is -760.4 eV/cell. The excess energy over the best structure of this formula in the dataset is 0.148 eV per atom. Its formation energy is 0.71 eV/atom.